No. 1
## TmUSb2N (GGA-PBE)

Data for an optimized crystal structure of TmUSb2N.

extended XYZ file:
```
10
Lattice="-2.582 -2.854 1.287 1.774 0.041 3.650 -8.842 9.887 4.186" Properties=species:S:1:pos:R:3 pbc="T T T"
Tm -2.067 -0.559 1.011
Tm -7.179 9.040 5.644
U -6.393 4.278 3.059
U -2.853 4.202 3.596
Sb -5.226 6.855 4.719
Sb -0.352 1.406 2.412
Sb -8.894 7.074 4.243
Sb -4.021 1.625 1.936
N -4.421 4.943 2.093
N -4.825 3.537 4.561
```

Results
The crystal system is tetragonal. The symmetry is P4/nmm.

***

No. 2
## U2SbN (GGA-PBE)

Data for an optimized crystal structure of U2SbN.

extended XYZ file:
```
8
Lattice="-3.027 -1.132 -2.175 1.361 -3.650 0.006 -4.757 0.320 9.944" Properties=species:S:1:pos:R:3 pbc="T T T"
U -3.394 -1.258 5.378
U -3.029 -3.205 2.396
U -2.346 -2.956 -2.171
U -0.152 -4.215 -1.081
Sb -1.278 -0.473 2.026
Sb -5.145 -3.988 5.749
N -2.115 -2.861 4.432
N -4.309 -1.602 3.342
```

Results
The crystal system is tetragonal. For the distance to the lowest polymorph of the same formula, the calculation gives 0.0 meV/atom. The symmetry is I4/mmm.

***

| no. | ρ (Mg/m³) | formation energy (no corrections) (eV/atom) |
| --- | --- | --- |
| 1 | 9.635 | -0.85 |
| 2 | 12.540 | -0.75 |